First-principles (PBE-GGA) data for a relaxed structure of LiP2NCl, as listed in Alexandria via LeMat-Bulk.

Output
Total energy, eV per cell: -21.57
ΔE to the lowest computed polymorph, kcal/mol of atoms: 0.00
Energy relative to the elements, uncorrected, eV/atom: 0.27
SG: P4/mmm (123)

extended XYZ file:
```
5
Lattice="-2.088 -2.934 0.979 -0.198 -1.051 -3.575 6.319 -4.201 0.885" Properties=species:S:1:pos:R:3 pbc="T T T"
P -1.044 -1.467 0.489
P -0.099 -0.526 -1.788
Cl 3.159 -2.100 0.442
Li 2.016 -4.093 -0.856
N 0.000 0.000 0.000
```

***

First-principles (PBE-GGA) data for a relaxed structure of CsAgRu2, as listed in Alexandria via LeMat-Bulk.

Output
Formation energy, eV/f.u.: 6.74
Total energy, eV per cell: -15.52
ΔE to the lowest computed polymorph, kcal/mol of atoms: 8.13
SG: Fm-3m (225)

extended XYZ file:
```
4
Lattice="-3.615 -3.205 0.336 -3.707 0.197 -3.110 -0.513 -3.433 -3.376" Properties=species:S:1:pos:R:3 pbc="T T T"
Ru -1.959 -1.610 -1.537
Ru -5.876 -4.831 -4.612
Cs -3.917 -3.221 -3.075
Ag 0.000 0.000 0.000
```

***

First-principles (PBE-GGA) data for a relaxed structure of HoB3Mo, as listed in Alexandria via LeMat-Bulk.

Output
Formation energy, eV/f.u.: -2.40
Total energy, eV per cell: -75.69
ΔE to the lowest computed polymorph, kcal/mol of atoms: 3.52
SG: Cmcm (63)

extended XYZ file:
```
10
Lattice="3.186 0.000 0.000 0.000 3.521 0.000 0.000 -1.761 9.926" Properties=species:S:1:pos:R:3 pbc="T T T"
Mo 0.797 1.761 5.808
Mo 2.390 0.000 4.118
Ho 2.390 1.761 8.458
Ho 0.797 0.000 1.468
B 0.797 0.000 7.465
B 2.390 1.761 2.461
B 0.797 1.761 3.413
B 0.797 0.000 9.475
B 2.390 1.761 0.450
B 2.390 0.000 6.513
```

***

First-principles (PBE-GGA) data for a relaxed structure of KLiTa2, as listed in Alexandria via LeMat-Bulk.

Output
Formation energy, eV/f.u.: 4.39
Total energy, eV per cell: -22.33
ΔE to the lowest computed polymorph, kcal/mol of atoms: 11.78
SG: P4/mmm (123)

extended XYZ file:
```
4
Lattice="3.040 0.000 0.000 0.000 3.040 0.000 0.000 0.000 9.534" Properties=species:S:1:pos:R:3 pbc="T T T"
K 1.520 1.520 2.383
Li 1.520 1.520 7.150
Ta 0.000 0.000 8.627
Ta 0.000 0.000 5.674
```

***

First-principles (PBE-GGA) data for a relaxed structure of Ag3IF3, as listed in Alexandria via LeMat-Bulk.

Output
Total energy, eV per cell: -43.64
Energy relative to the elements, uncorrected, eV/atom: -0.87
SG: P-1 (2)

extended XYZ file:
```
14
Lattice="-1.443 0.094 -3.580 -0.467 -6.559 -2.053 -10.999 0.896 2.248" Properties=species:S:1:pos:R:3 pbc="T T T"
F -3.310 0.106 -2.875
F -8.053 -5.556 -3.200
F -4.857 -0.012 -0.185
F -9.600 -5.674 -0.509
F -0.898 -2.111 -1.799
F -12.011 -3.457 -1.585
Ag -11.321 -1.182 -1.847
Ag -7.075 -0.412 0.696
Ag -9.967 -4.323 -2.406
Ag -5.835 -5.156 -4.080
Ag -2.943 -1.245 -0.978
Ag -1.589 -4.387 -1.537
I -4.388 -3.241 -2.535
I -8.522 -2.328 -0.849
```

***

First-principles (PBE-GGA) data for a relaxed structure of Tb4Ir2Rh, as listed in Alexandria via LeMat-Bulk.

Output
Formation energy, eV/f.u.: -5.20
Total energy, eV per cell: -97.59
ΔE to the lowest computed polymorph, kcal/mol of atoms: 1.63
SG: C2 (5)

extended XYZ file:
```
14
Lattice="7.397 -0.979 -0.164 -1.506 7.306 0.141 -2.828 -3.262 6.100" Properties=species:S:1:pos:R:3 pbc="T T T"
Rh -0.698 3.601 3.115
Rh 0.003 0.004 0.001
Ir -1.205 -0.347 3.808
Ir 2.796 1.831 2.274
Ir 2.525 -0.864 5.288
Ir 2.009 5.511 0.779
Tb 2.275 4.523 3.802
Tb 0.113 -2.317 5.321
Tb 5.372 0.176 1.411
Tb 1.517 -0.679 2.272
Tb 4.618 3.832 1.494
Tb 0.663 1.617 4.573
Tb -3.038 2.104 4.669
Tb 0.731 3.001 0.766
```